w.
A plane-wave DFT calculation with PBEsol was carried out for an optimized crystal structure of Tl2CuHg. Values from VASP.

The structure in Quantum ESPRESSO input format:
```
&SYSTEM
  ibrav = 0, nat = 4, ntyp = 3
/
ATOMIC_SPECIES
Tl 204.38 Tl.upf
Hg 200.59 Hg.upf
Cu 63.55 Cu.upf
CELL_PARAMETERS angstrom
4.053 0.000 0.000
0.000 4.707 0.045
0.000 -0.047 4.707
ATOMIC_POSITIONS crystal
Tl 0.000 0.000 0.500
Tl 0.000 0.500 0.000
Hg 0.500 0.500 0.500
Cu 0.500 0.000 0.000
```

---

x.
A plane-wave DFT calculation with PBEsol was carried out for an optimized crystal structure of Tl2CuHg. Values from VASP.

The structure in Quantum ESPRESSO input format:
```
&SYSTEM
  ibrav = 0, nat = 4, ntyp = 3
/
ATOMIC_SPECIES
Tl 204.38 Tl.upf
Hg 200.59 Hg.upf
Cu 63.55 Cu.upf
CELL_PARAMETERS angstrom
3.475 0.000 0.000
1.737 3.009 0.000
1.737 1.003 8.748
ATOMIC_POSITIONS crystal
Tl 0.996 0.996 0.013
Hg 0.236 0.236 0.293
Tl 0.766 0.766 0.703
Cu 0.503 0.503 0.491
```

---

Q: Which of them is the most stable? A: x.

---

w.
A plane-wave DFT calculation with PBEsol was carried out for an optimized crystal structure of ZrCuHg2. Values from VASP.

The structure in Quantum ESPRESSO input format:
```
&SYSTEM
  ibrav = 0, nat = 4, ntyp = 3
/
ATOMIC_SPECIES
Hg 200.59 Hg.upf
Zr 91.22 Zr.upf
Cu 63.55 Cu.upf
CELL_PARAMETERS angstrom
-0.319 2.555 1.355
-3.193 1.625 -3.815
-2.955 -2.305 3.653
ATOMIC_POSITIONS crystal
Hg 0.000 0.000 0.500
Zr 0.500 0.000 0.000
Hg 0.000 0.500 0.000
Cu 0.500 0.500 0.500
```

---

x.
A plane-wave DFT calculation with PBEsol was carried out for an optimized crystal structure of ZrCuHg2. Values from VASP.

The structure in Quantum ESPRESSO input format:
```
&SYSTEM
  ibrav = 0, nat = 4, ntyp = 3
/
ATOMIC_SPECIES
Hg 200.59 Hg.upf
Zr 91.22 Zr.upf
Cu 63.55 Cu.upf
CELL_PARAMETERS angstrom
4.701 0.000 0.000
-2.351 4.052 0.107
0.000 2.624 3.901
ATOMIC_POSITIONS crystal
Hg 0.000 0.000 0.000
Hg 0.250 0.500 0.250
Zr 0.500 0.000 0.500
Cu 0.750 0.500 0.750
```

---

y.
A plane-wave DFT calculation with PBEsol was carried out for an optimized crystal structure of ZrCuHg2. Values from VASP.

The structure in Quantum ESPRESSO input format:
```
&SYSTEM
  ibrav = 0, nat = 4, ntyp = 3
/
ATOMIC_SPECIES
Zr 91.22 Zr.upf
Hg 200.59 Hg.upf
Cu 63.55 Cu.upf
CELL_PARAMETERS angstrom
-0.003 2.735 1.065
-3.773 -0.844 2.157
3.001 -2.850 4.135
ATOMIC_POSITIONS crystal
Zr 0.500 0.500 0.000
Hg 0.876 0.000 0.737
Cu 0.000 0.500 0.500
Hg 0.124 0.000 0.263
```

---

Q: Which of them is the most stable? A: x.

---

w.
A plane-wave DFT calculation with PBEsol was carried out for an optimized crystal structure of Ho2CuO4. Values from VASP.

The structure in Quantum ESPRESSO input format:
```
&SYSTEM
  ibrav = 0, nat = 14, ntyp = 3
/
ATOMIC_SPECIES
O 16.00 O.upf
Ho 164.93 Ho.upf
Cu 63.55 Cu.upf
CELL_PARAMETERS angstrom
-0.728 0.263 5.335
0.382 -5.374 0.317
5.544 3.140 0.602
ATOMIC_POSITIONS crystal
O 0.706 0.794 0.000
Ho 0.500 0.154 0.307
O 0.794 0.294 0.000
O 0.206 0.706 0.000
O 0.250 0.009 0.500
Cu 0.000 0.000 0.000
Ho 0.500 0.846 0.693
Ho 0.000 0.654 0.307
O 0.250 0.509 0.500
Ho 0.000 0.346 0.693
Cu 0.500 0.500 0.000
O 0.294 0.206 0.000
O 0.750 0.491 0.500
O 0.750 0.991 0.500
```

---

x.
A plane-wave DFT calculation with PBEsol was carried out for an optimized crystal structure of Ho2CuO4. Values from VASP.

The structure in Quantum ESPRESSO input format:
```
&SYSTEM
  ibrav = 0, nat = 7, ntyp = 3
/
ATOMIC_SPECIES
Ho 164.93 Ho.upf
O 16.00 O.upf
Cu 63.55 Cu.upf
CELL_PARAMETERS angstrom
3.805 0.000 0.000
0.000 3.805 0.000
-1.903 -1.903 5.728
ATOMIC_POSITIONS crystal
Ho 0.349 0.349 0.698
O 0.000 0.500 0.000
Cu 0.000 0.000 0.000
Ho 0.651 0.651 0.302
O 0.500 0.000 0.000
O 0.250 0.750 0.500
O 0.750 0.250 0.500
```

---

Q: Which of them is the most stable? A: w.

---

w.
A plane-wave DFT calculation with PBEsol was carried out for an optimized crystal structure of La2CuPdI. Values from VASP.

The structure in Quantum ESPRESSO input format:
```
&SYSTEM
  ibrav = 0, nat = 5, ntyp = 4
/
ATOMIC_SPECIES
I 126.90 I.upf
La 138.91 La.upf
Pd 106.42 Pd.upf
Cu 63.55 Cu.upf
CELL_PARAMETERS angstrom
-2.613 1.519 -3.776
-4.415 0.281 3.168
1.214 5.158 1.235
ATOMIC_POSITIONS crystal
I 0.500 0.000 0.000
La 0.000 0.000 0.500
La 0.000 0.500 0.000
Pd 0.500 0.500 0.500
Cu 0.000 0.000 0.000
```

---

x.
A plane-wave DFT calculation with PBEsol was carried out for an optimized crystal structure of La2CuPdI. Values from VASP.

The structure in Quantum ESPRESSO input format:
```
&SYSTEM
  ibrav = 0, nat = 5, ntyp = 4
/
ATOMIC_SPECIES
I 126.90 I.upf
La 138.91 La.upf
Pd 106.42 Pd.upf
Cu 63.55 Cu.upf
CELL_PARAMETERS angstrom
4.607 0.000 0.000
0.000 5.833 0.000
0.000 0.000 5.833
ATOMIC_POSITIONS crystal
I 0.000 0.000 0.000
La 0.000 0.500 0.000
Pd 0.500 0.500 0.500
Cu 0.500 0.000 0.000
La 0.000 0.000 0.500
```

---

Q: Which of them is the most stable? A: w.

---

w.
A plane-wave DFT calculation with PBEsol was carried out for an optimized crystal structure of Cu3IO. Values from VASP.

The structure in Quantum ESPRESSO input format:
```
&SYSTEM
  ibrav = 0, nat = 5, ntyp = 3
/
ATOMIC_SPECIES
I 126.90 I.upf
Cu 63.55 Cu.upf
O 16.00 O.upf
CELL_PARAMETERS angstrom
-1.622 -3.712 -0.850
0.171 -0.994 4.014
-3.804 1.538 0.543
ATOMIC_POSITIONS crystal
I 0.500 0.500 0.500
Cu 0.000 0.000 0.500
O 0.000 0.000 0.000
Cu 0.000 0.500 0.000
Cu 0.500 0.000 0.000
```

---

x.
A plane-wave DFT calculation with PBEsol was carried out for an optimized crystal structure of Cu3IO. Values from VASP.

The structure in Quantum ESPRESSO input format:
```
&SYSTEM
  ibrav = 0, nat = 5, ntyp = 3
/
ATOMIC_SPECIES
O 16.00 O.upf
Cu 63.55 Cu.upf
I 126.90 I.upf
CELL_PARAMETERS angstrom
-0.905 1.389 4.400
3.015 -3.217 1.636
3.494 3.136 -0.272
ATOMIC_POSITIONS crystal
O 0.500 0.500 0.500
Cu 0.000 0.500 0.000
I 0.000 0.000 0.000
Cu 0.500 0.000 0.000
Cu 0.000 0.000 0.500
```

---

Q: Which of them is the most stable? A: w.

---

w.
A plane-wave DFT calculation with PBEsol was carried out for an optimized crystal structure of CuI2O6. Values from VASP.

The structure in Quantum ESPRESSO input format:
```
&SYSTEM
  ibrav = 0, nat = 18, ntyp = 3
/
ATOMIC_SPECIES
I 126.90 I.upf
O 16.00 O.upf
Cu 63.55 Cu.upf
CELL_PARAMETERS angstrom
-4.319 1.617 -1.761
-1.241 -5.129 -1.666
-3.669 -0.644 8.405
ATOMIC_POSITIONS crystal
I 0.987 0.735 0.931
O 0.636 0.497 0.211
I 0.972 0.260 0.402
Cu 0.905 0.217 0.746
O 0.136 0.503 0.789
O 0.650 0.448 0.583
O 0.227 0.098 0.272
O 0.604 0.867 0.435
O 0.706 0.356 0.918
O 0.703 0.018 0.117
O 0.203 0.982 0.883
O 0.150 0.552 0.417
I 0.472 0.740 0.598
Cu 0.405 0.783 0.254
O 0.104 0.133 0.565
O 0.206 0.644 0.082
I 0.487 0.265 0.069
O 0.727 0.902 0.728
```

---

x.
A plane-wave DFT calculation with PBEsol was carried out for an optimized crystal structure of CuI2O6. Values from VASP.

The structure in Quantum ESPRESSO input format:
```
&SYSTEM
  ibrav = 0, nat = 18, ntyp = 3
/
ATOMIC_SPECIES
Cu 63.55 Cu.upf
I 126.90 I.upf
O 16.00 O.upf
CELL_PARAMETERS angstrom
4.951 0.000 0.023
0.000 6.115 0.000
-0.287 0.000 8.120
ATOMIC_POSITIONS crystal
Cu 0.500 0.000 0.500
I 0.032 0.750 0.229
O 0.806 0.750 0.398
O 0.267 0.525 0.304
O 0.356 0.750 0.619
O 0.194 0.250 0.602
O 0.733 0.475 0.696
Cu 0.500 0.500 0.500
O 0.251 0.971 0.907
I 0.518 0.250 0.155
I 0.482 0.750 0.845
O 0.749 0.471 0.093
O 0.251 0.529 0.907
O 0.733 0.025 0.696
I 0.968 0.250 0.771
O 0.749 0.029 0.093
O 0.267 0.975 0.304
O 0.644 0.250 0.381
```

---

Q: Which of them is the most stable? A: x.

---

w.
A plane-wave DFT calculation with PBEsol was carried out for an optimized crystal structure of RbCuI2. Values from VASP.

The structure in Quantum ESPRESSO input format:
```
&SYSTEM
  ibrav = 0, nat = 8, ntyp = 3
/
ATOMIC_SPECIES
Cu 63.55 Cu.upf
I 126.90 I.upf
Rb 85.47 Rb.upf
CELL_PARAMETERS angstrom
7.128 0.131 0.210
-2.650 6.618 -0.210
-2.650 -3.102 5.850
ATOMIC_POSITIONS crystal
Cu 0.500 0.250 0.750
I 0.598 0.375 0.473
Cu 0.000 0.500 0.500
I 0.402 0.875 0.777
I 0.098 0.223 0.625
Rb 0.000 0.000 0.000
Rb 0.500 0.750 0.250
I 0.902 0.527 0.125
```

---

x.
A plane-wave DFT calculation with PBEsol was carried out for an optimized crystal structure of RbCuI2. Values from VASP.

The structure in Quantum ESPRESSO input format:
```
&SYSTEM
  ibrav = 0, nat = 4, ntyp = 3
/
ATOMIC_SPECIES
Cu 63.55 Cu.upf
I 126.90 I.upf
Rb 85.47 Rb.upf
CELL_PARAMETERS angstrom
-3.150 4.016 -2.307
-3.690 2.813 3.136
0.933 5.373 1.279
ATOMIC_POSITIONS crystal
Cu 0.000 0.000 0.000
I 0.250 0.250 0.250
I 0.750 0.750 0.750
Rb 0.500 0.500 0.500
```

---

Q: Which of them is the most stable? A: w.

---

w.
A plane-wave DFT calculation with PBEsol was carried out for an optimized crystal structure of CuSI2. Values from VASP.

The structure in Quantum ESPRESSO input format:
```
&SYSTEM
  ibrav = 0, nat = 4, ntyp = 3
/
ATOMIC_SPECIES
I 126.90 I.upf
Cu 63.55 Cu.upf
S 32.06 S.upf
CELL_PARAMETERS angstrom
-0.144 3.747 3.272
-3.119 -0.197 3.872
1.783 -0.645 4.601
ATOMIC_POSITIONS crystal
I 0.250 0.250 0.250
Cu 0.500 0.500 0.500
S 0.000 0.000 0.000
I 0.750 0.750 0.750
```

---

x.
A plane-wave DFT calculation with PBEsol was carried out for an optimized crystal structure of CuSI2. Values from VASP.

The structure in Quantum ESPRESSO input format:
```
&SYSTEM
  ibrav = 0, nat = 8, ntyp = 3
/
ATOMIC_SPECIES
S 32.06 S.upf
I 126.90 I.upf
Cu 63.55 Cu.upf
CELL_PARAMETERS angstrom
8.969 0.000 0.013
0.000 3.777 0.000
-1.668 0.000 6.342
ATOMIC_POSITIONS crystal
S 0.528 0.000 0.880
I 0.168 0.000 0.082
Cu 0.463 0.000 0.191
I 0.815 0.000 0.973
Cu 0.463 0.500 0.691
I 0.168 0.500 0.582
S 0.528 0.500 0.380
I 0.815 0.500 0.473
```

---

Q: Which of them is the most stable? A: x.

---

w.
A plane-wave DFT calculation with PBEsol was carried out for an optimized crystal structure of TaIn2Cu. Values from VASP.

The structure in Quantum ESPRESSO input format:
```
&SYSTEM
  ibrav = 0, nat = 4, ntyp = 3
/
ATOMIC_SPECIES
Ta 180.95 Ta.upf
In 114.82 In.upf
Cu 63.55 Cu.upf
CELL_PARAMETERS angstrom
-0.923 2.420 2.241
-4.149 -1.644 0.066
3.716 -3.222 2.392
ATOMIC_POSITIONS crystal
Ta 0.500 0.000 0.000
In 0.729 0.729 0.458
In 0.271 0.271 0.542
Cu 0.000 0.500 0.000
```

---

x.
A plane-wave DFT calculation with PBEsol was carried out for an optimized crystal structure of TaIn2Cu. Values from VASP.

The structure in Quantum ESPRESSO input format:
```
&SYSTEM
  ibrav = 0, nat = 4, ntyp = 3
/
ATOMIC_SPECIES
Cu 63.55 Cu.upf
In 114.82 In.upf
Ta 180.95 Ta.upf
CELL_PARAMETERS angstrom
-1.524 2.544 -0.595
-0.354 0.917 -2.861
-8.402 -3.640 -1.728
ATOMIC_POSITIONS crystal
Cu 0.500 0.500 0.500
In 0.244 0.244 0.267
Ta 0.000 0.000 0.000
In 0.756 0.756 0.733
```

---

Q: Which of them is the most stable? A: x.

---

w.
A plane-wave DFT calculation with PBEsol was carried out for an optimized crystal structure of InCuTe. Values from VASP.

The structure in Quantum ESPRESSO input format:
```
&SYSTEM
  ibrav = 0, nat = 3, ntyp = 3
/
ATOMIC_SPECIES
Cu 63.55 Cu.upf
In 114.82 In.upf
Te 127.60 Te.upf
CELL_PARAMETERS angstrom
-0.733 0.162 4.561
-2.271 -3.435 2.099
2.264 -2.890 2.808
ATOMIC_POSITIONS crystal
Cu 0.250 0.250 0.250
In 0.000 0.000 0.000
Te 0.500 0.500 0.500
```

---

x.
A plane-wave DFT calculation with PBEsol was carried out for an optimized crystal structure of InCuTe. Values from VASP.

The structure in Quantum ESPRESSO input format:
```
&SYSTEM
  ibrav = 0, nat = 3, ntyp = 3
/
ATOMIC_SPECIES
Cu 63.55 Cu.upf
Te 127.60 Te.upf
In 114.82 In.upf
CELL_PARAMETERS angstrom
3.099 0.000 0.000
0.000 3.483 0.000
-1.549 -1.742 6.015
ATOMIC_POSITIONS crystal
Cu 0.003 0.003 0.006
Te 0.635 0.635 0.271
In 0.362 0.362 0.723
```

---

Q: Which of them is the most stable? A: w.

---

w.
A plane-wave DFT calculation with PBEsol was carried out for an optimized crystal structure of In2CuW. Values from VASP.

The structure in Quantum ESPRESSO input format:
```
&SYSTEM
  ibrav = 0, nat = 4, ntyp = 3
/
ATOMIC_SPECIES
In 114.82 In.upf
W 183.84 W.upf
Cu 63.55 Cu.upf
CELL_PARAMETERS angstrom
3.884 0.000 0.000
0.000 3.884 0.000
-1.942 -1.942 4.567
ATOMIC_POSITIONS crystal
In 0.750 0.250 0.500
In 0.000 0.000 0.000
W 0.500 0.500 0.000
Cu 0.250 0.750 0.500
```

---

x.
A plane-wave DFT calculation with PBEsol was carried out for an optimized crystal structure of In2CuW. Values from VASP.

The structure in Quantum ESPRESSO input format:
```
&SYSTEM
  ibrav = 0, nat = 4, ntyp = 3
/
ATOMIC_SPECIES
Cu 63.55 Cu.upf
W 183.84 W.upf
In 114.82 In.upf
CELL_PARAMETERS angstrom
-0.842 1.457 2.332
-2.743 -0.275 -0.819
-0.553 -7.097 4.236
ATOMIC_POSITIONS crystal
Cu 0.500 0.500 0.500
W 0.500 0.500 0.000
In 0.000 0.000 0.736
In 0.000 0.000 0.264
```

---

Q: Which of them is the most stable? A: x.

---

w.
A plane-wave DFT calculation with PBEsol was carried out for an optimized crystal structure of In2CuW. Values from VASP.

The structure in Quantum ESPRESSO input format:
```
&SYSTEM
  ibrav = 0, nat = 4, ntyp = 3
/
ATOMIC_SPECIES
W 183.84 W.upf
In 114.82 In.upf
Cu 63.55 Cu.upf
CELL_PARAMETERS angstrom
3.002 0.000 0.000
0.000 4.663 0.000
-1.501 -2.331 4.964
ATOMIC_POSITIONS crystal
W 0.523 0.523 0.045
In 0.980 0.980 0.960
Cu 0.238 0.738 0.476
In 0.760 0.260 0.520
```

---

x.
A plane-wave DFT calculation with PBEsol was carried out for an optimized crystal structure of In2CuW. Values from VASP.

The structure in Quantum ESPRESSO input format:
```
&SYSTEM
  ibrav = 0, nat = 4, ntyp = 3
/
ATOMIC_SPECIES
In 114.82 In.upf
Cu 63.55 Cu.upf
W 183.84 W.upf
CELL_PARAMETERS angstrom
2.888 0.000 0.000
-1.444 4.703 -0.026
0.000 -1.216 5.101
ATOMIC_POSITIONS crystal
In 0.240 0.481 0.245
Cu 0.500 0.000 0.000
W 0.000 0.000 0.500
In 0.760 0.519 0.755
```

---

Q: Which of them is the most stable? A: w.

---

w.
A plane-wave DFT calculation with PBEsol was carried out for an optimized crystal structure of Cu5Ir. Values from VASP.

The structure in Quantum ESPRESSO input format:
```
&SYSTEM
  ibrav = 0, nat = 6, ntyp = 2
/
ATOMIC_SPECIES
Cu 63.55 Cu.upf
Ir 192.22 Ir.upf
CELL_PARAMETERS angstrom
-0.664 2.129 1.244
-3.378 -3.347 1.302
4.635 -0.819 3.876
ATOMIC_POSITIONS crystal
Cu 0.336 0.672 0.663
Ir 0.721 0.443 0.942
Cu 0.666 0.333 0.338
Cu 0.390 0.780 0.283
Cu 0.000 0.999 0.004
Cu 0.053 0.106 0.604
```

---

x.
A plane-wave DFT calculation with PBEsol was carried out for an optimized crystal structure of Cu5Ir. Values from VASP.

The structure in Quantum ESPRESSO input format:
```
&SYSTEM
  ibrav = 0, nat = 6, ntyp = 2
/
ATOMIC_SPECIES
Cu 63.55 Cu.upf
Ir 192.22 Ir.upf
CELL_PARAMETERS angstrom
-1.959 1.670 0.307
-2.670 -3.218 0.471
2.046 -0.774 6.311
ATOMIC_POSITIONS crystal
Cu 0.668 0.000 0.337
Ir 0.886 0.500 0.771
Cu 0.005 0.000 0.010
Cu 0.217 0.500 0.433
Cu 0.335 0.000 0.670
Cu 0.556 0.500 0.112
```

---

Q: Which of them is the most stable? A: w.